No. 1
A plane-wave DFT calculation with PBE-GGA was carried out for AgHgPd after structural relaxation.

Values from the calculation:
* total DFT energy (no corrections): -2.690 eV per atom
* formation energy from the elements: 0.092 eV/atom
* ΔE to the lowest computed polymorph: 0.1665 eV per atom
* volume: 65 Å³/cell
* space group: F-43m, No. 216

Cell: 4.5137 4.5137 4.5137 Å, 60.00 60.00 60.00°
Atoms (fractional coordinates):
1 Pd 0.2500 0.2500 0.2500
2 Hg 0.0000 0.0000 0.0000
3 Ag 0.5000 0.5000 0.5000



No. 2
A plane-wave DFT calculation with PBE-GGA was carried out for Ag6HgPd after structural relaxation.

Values from the calculation:
* total DFT energy (no corrections): -2.819 eV per atom
* formation energy from the elements: 0.006 eV/atom
* ΔE to the lowest computed polymorph: 0.0000 eV per atom
* volume: 144 Å³/cell
* space group: P4/mmm, No. 123

Cell: 4.1993 4.1993 8.1724 Å, 90.00 90.00 90.00°
Atoms (fractional coordinates):
1 Ag 0.5000 0.5000 0.0000
2 Ag 0.5000 0.5000 0.5000
3 Ag 0.5000 0.0000 0.2592
4 Ag 0.5000 0.0000 0.7408
5 Ag 0.0000 0.5000 0.2592
6 Ag 0.0000 0.5000 0.7408
7 Hg 0.0000 0.0000 0.0000
8 Pd 0.0000 0.0000 0.5000



No. 3
A plane-wave DFT calculation with PBE-GGA was carried out for Ag6HgPd2 after structural relaxation.

Values from the calculation:
* total DFT energy (no corrections): -3.080 eV per atom
* formation energy from the elements: 0.009 eV/atom
* ΔE to the lowest computed polymorph: 0.0421 eV per atom
* volume: 322 Å³/cell
* space group: C2/c, No. 15

Cell: 7.2628 7.6129 7.2628 Å, 64.25 85.98 64.25°
Atoms (fractional coordinates):
1 Ag 0.4287 0.5278 0.6760
2 Ag 0.3240 0.9722 0.5713
3 Ag 0.5713 0.4722 0.3240
4 Ag 0.6760 0.0278 0.4287
5 Ag 0.9050 0.1428 0.6394
6 Ag 0.3606 0.3572 0.0950
7 Ag 0.0950 0.8572 0.3606
8 Ag 0.6394 0.6428 0.9050
9 Ag 0.2264 0.8008 0.9986
10 Ag 0.0014 0.6992 0.7736
11 Ag 0.7736 0.1992 0.0014
12 Ag 0.9986 0.3008 0.2264
13 Hg 0.8564 0.7500 0.1436
14 Hg 0.1436 0.2500 0.8564
15 Pd 0.4450 0.9187 0.2116
16 Pd 0.7884 0.5813 0.5550
17 Pd 0.5550 0.0813 0.7884
18 Pd 0.2116 0.4187 0.4450